First-principles (GGA+U) data for a geometry-optimized TiTlV2F structure, as listed in Alexandria via LeMat-Bulk.

Structure (CIF):
```
data_TiTlV2F
_cell_length_a 5.3999
_cell_length_b 5.3999
_cell_length_c 5.2653
_cell_angle_alpha 90.00
_cell_angle_beta 90.00
_cell_angle_gamma 90.00
_space_group_name_H-M_alt 'P 4/m m m'
_space_group_IT_number 123
_space_group_name_Hall '-P 4 2'
loop_
_atom_site_label
_atom_site_fract_x
_atom_site_fract_y
_atom_site_fract_z
_atom_site_occupancy
Ti1 0.0000 0.0000 0.0000 1
Tl1 0.0000 0.0000 0.5000 1
V1 0.0000 0.5000 0.5000 1
F1 0.5000 0.5000 0.0000 1
```

***

First-principles (GGA+U) data for a geometry-optimized TiTlVF6 structure, as listed in Alexandria via LeMat-Bulk.

Structure (CIF):
```
data_TiTlVF6
_cell_length_a 5.5384
_cell_length_b 5.5384
_cell_length_c 12.1476
_cell_angle_alpha 90.00
_cell_angle_beta 90.00
_cell_angle_gamma 120.00
_space_group_name_H-M_alt 'P -3 1 c'
_space_group_IT_number 163
_space_group_name_Hall '-P 3 2c'
loop_
_atom_site_label
_atom_site_fract_x
_atom_site_fract_y
_atom_site_fract_z
_atom_site_occupancy
Ti1 0.3333 0.6667 0.2500 1
Tl1 0.0000 0.0000 0.0000 1
V1 0.3333 0.6667 0.7500 1
F1 0.0175 0.3814 0.1589 1
```

***

The DFT total energy results, record by record, are as follows: -4.093; -5.971 eV per atom.
The theoretical density results, record by record, are as follows: 4.04; 4.29 g/cm3.